(1)
# LaB4Ru4 GGA-PBEsol optimized geometry
data_LaB4Ru4
_chemical_formula_sum 'La2 B8 Ru8'
_cell_length_a 7.493
_cell_length_b 7.493
_cell_length_c 3.987
_cell_angle_alpha 90.00
_cell_angle_beta 90.00
_cell_angle_gamma 90.00
_space_group_name_H-M_alt 'P 42/n'
_space_group_IT_number 86
loop_
_space_group_symop_operation_xyz
'x,y,z'
'-x,-y,-z'
'-y,x+1/2,z+1/2'
'y,-x+1/2,-z+1/2'
'-x+1/2,-y+1/2,z'
'x+1/2,y+1/2,-z'
'y+1/2,-x,z+1/2'
'-y+1/2,x,-z+1/2'
loop_
_atom_site_label
_atom_site_type_symbol
_atom_site_fract_x
_atom_site_fract_y
_atom_site_fract_z
La1 La 0.250 0.250 0.250
B1 B 0.039 0.584 0.141
Ru1 Ru 0.108 0.859 0.141
# - ΔE_f: -4.41 eV/f.u.
# - DOS at the Fermi energy: 0.771 states/eV/atom
# - Energy: -157.03 eV/cell
# - Calculated volume: 224 Å³ per cell
# - Crystal system: tetragonal
# - Spin magnetization: 0.00 μB/f.u.
# - ρ: 8.70 g/cm3

=====

(2)
# LaB3Ru GGA-PBEsol optimized geometry
data_LaB3Ru
_chemical_formula_sum 'La1 B3 Ru1'
_cell_length_a 4.092
_cell_length_b 4.092
_cell_length_c 4.092
_cell_angle_alpha 90.00
_cell_angle_beta 90.00
_cell_angle_gamma 90.00
_space_group_name_H-M_alt 'P m -3 m'
_space_group_IT_number 221
_space_group_name_Hall '-P 4 2 3'
loop_
_atom_site_label
_atom_site_type_symbol
_atom_site_fract_x
_atom_site_fract_y
_atom_site_fract_z
La1 La 0.000 0.000 0.000
B1 B 0.000 0.500 0.500
Ru1 Ru 0.500 0.500 0.500
# - ΔE_f: 0.19 eV/f.u.
# - DOS at the Fermi energy: 0.273 states/eV/atom
# - Energy: -36.38 eV/cell
# - Calculated volume: 69 Å³ per cell
# - Crystal system: cubic
# - Spin magnetization: 0.00 μB/f.u.
# - ρ: 6.60 g/cm3